The following is a GGA-PBE calculation of a geometry-optimized Sm2InCuS5 structure, from Alexandria.

Unit cell a=3.8717 b=11.5381 c=16.6423 alpha=90.00 beta=90.00 gamma=90.00
Last column: nearest neighbours and their distance in Å.
Sites, in units of the cell vectors:
Sm: 0.2500 0.1345 0.4032  8 S 2.86-3.13
Sm: 0.2500 0.6345 0.0968  8 S 2.86-3.13
Sm: 0.7500 0.8655 0.5968  8 S 2.86-3.13
Sm: 0.7500 0.3655 0.9032  8 S 2.86-3.13
Sm: 0.2500 0.4729 0.3198  8 S 2.88-3.20, 1 Cu 3.18
Sm: 0.2500 0.9729 0.1802  8 S 2.88-3.20, 1 Cu 3.18
Sm: 0.7500 0.5271 0.6802  8 S 2.88-3.20, 1 Cu 3.18
Sm: 0.7500 0.0271 0.8198  8 S 2.88-3.20, 1 Cu 3.18
In: 0.2500 0.1944 0.6370  6 S 2.58-2.76
In: 0.2500 0.6944 0.8630  6 S 2.58-2.76
In: 0.7500 0.8056 0.3630  6 S 2.58-2.76
In: 0.7500 0.3056 0.1370  6 S 2.58-2.76
Cu: 0.2500 0.5810 0.4953  4 S 2.28-2.48
Cu: 0.2500 0.0810 0.0047  4 S 2.28-2.48
Cu: 0.7500 0.4190 0.5047  4 S 2.28-2.48
Cu: 0.7500 0.9190 0.9953  4 S 2.28-2.48
S: 0.2500 0.7408 0.2695  2 In 2.59
S: 0.2500 0.2408 0.2305  2 In 2.59
S: 0.7500 0.2592 0.7305  2 In 2.59
S: 0.7500 0.7592 0.7695  2 In 2.59
S: 0.2500 0.8920 0.4654  2 In 2.76, 3 Sm 2.94-2.98
S: 0.2500 0.3920 0.0346  2 In 2.76, 3 Sm 2.94-2.98
S: 0.7500 0.1080 0.5346  2 In 2.76, 3 Sm 2.94-2.98
S: 0.7500 0.6080 0.9654  2 In 2.76, 3 Sm 2.94-2.98
S: 0.2500 0.6845 0.6119  1 Cu 2.28
S: 0.2500 0.1845 0.8881  1 Cu 2.28
S: 0.7500 0.3155 0.3881  1 Cu 2.28
S: 0.7500 0.8155 0.1119  1 Cu 2.28
S: 0.2500 0.4047 0.5808  3 Cu 2.32-2.48
S: 0.2500 0.9047 0.9192  3 Cu 2.32-2.48
S: 0.7500 0.5953 0.4192  3 Cu 2.32-2.48
S: 0.7500 0.0953 0.0808  3 Cu 2.32-2.48
S: 0.2500 0.4867 0.8050  1 In 2.58, 4 Sm 2.88-2.89
S: 0.2500 0.9867 0.6950  1 In 2.58, 4 Sm 2.88-2.89
S: 0.7500 0.5133 0.1950  1 In 2.58, 4 Sm 2.88-2.89
S: 0.7500 0.0133 0.3050  1 In 2.58, 4 Sm 2.88-2.89

Properties
energy above the lowest structure with this stoichiometry: 0.000 eV per atom
formation energy (no corrections): -1.35 eV/atom
crystal system: orthorhombic
space group: Pnma (62)
energy: -196.34 eV for the cell shown

The following is a GGA-PBE calculation of a geometry-optimized InCu2SnS4 structure, from Alexandria.

Unit cell a=5.7332 b=5.7332 c=6.8454 alpha=114.75 beta=114.75 gamma=90.01
Last column: nearest neighbours and their distance in Å.
Sites, in units of the cell vectors:
In: 0.9999 0.9999 0.9998  4 S 2.52
Cu: 0.7501 0.2501 0.5001  4 S 2.34
Cu: 0.2501 0.7501 0.5001  4 S 2.34
Sn: 0.5002 0.5002 0.0004  4 S 2.64
S: 0.6149 0.6149 0.7112  2 Cu 2.34, 1 In 2.52
S: 0.3848 0.9040 0.2888  2 Cu 2.34, 1 In 2.52
S: 0.9040 0.3848 0.2888  2 Cu 2.34, 1 In 2.52
S: 0.0963 0.0963 0.7112  2 Cu 2.34, 1 In 2.52

Properties
formation energy (no corrections): -0.36 eV/atom
crystal system: tetragonal
space group: I-42m (121)
energy: -34.32 eV for the cell shown

The following is a GGA-PBE calculation of a geometry-optimized InCuSnS4 structure, from Alexandria.

Unit cell a=7.5049 b=7.5049 c=7.5049 alpha=119.78 beta=120.13 gamma=90.08
Last column: nearest neighbours and their distance in Å.
Sites, in units of the cell vectors:
In: 0.0000 0.5000 0.5000  6 S 2.63-2.66
In: 0.5000 0.5000 0.0000  6 S 2.63-2.66
Cu: 0.1332 0.8832 0.2500  4 S 2.33-2.37
Cu: 0.8668 0.1168 0.7500  4 S 2.33-2.37
Sn: 0.5000 0.0000 0.0000  6 S 2.59-2.63
Sn: 0.5000 0.5000 0.5000  6 S 2.59-2.63
S: 0.2538 0.2488 0.0050  1 Cu 2.37, 2 Sn 2.63
S: 0.7438 0.2488 0.4950  1 Cu 2.37, 2 Sn 2.63
S: 0.7437 0.7382 0.4945  1 Cu 2.33, 1 Sn 2.59
S: 0.7437 0.2492 0.0055  1 Cu 2.33, 1 Sn 2.59
S: 0.7462 0.7512 0.9950  1 Cu 2.37, 2 Sn 2.63
S: 0.2562 0.7512 0.5050  1 Cu 2.37, 2 Sn 2.63
S: 0.2563 0.2618 0.5055  1 Cu 2.33, 1 Sn 2.59
S: 0.2563 0.7508 0.9945  1 Cu 2.33, 1 Sn 2.59

Properties
formation energy (no corrections): -0.44 eV/atom
crystal system: orthorhombic
space group: Imma (74)
energy: -60.87 eV for the cell shown